Pr3Th2: relaxed, PBE.

Cell: 3.643 3.643 15.130 Å, 83.08 83.08 60.00°
Sites, in units of the cell vectors:
Pr 0.903 0.903 0.292
Pr 0.097 0.097 0.708
Pr 0.500 0.500 0.500
Th 0.698 0.698 0.906
Th 0.302 0.302 0.094

Properties
- energy above the most stable polymorph in this dataset (meV/atom) = 0
- formation energy (eV/f.u.) = 0.1
- space-group type = No. 166
- magnetization (μB per cell) = 0.0